DFT (PBE-GGA) results for ZnHCl3 after structural relaxation.

Energy relative to the lowest polymorph listed for this composition = 0.0 meV/atom
Calculated density = 2.27 Mg/m³

```
data_ZnHCl3
_cell_length_a 15.748
_cell_length_b 3.217
_cell_length_c 10.177
_cell_angle_alpha 90.00
_cell_angle_beta 101.35
_cell_angle_gamma 90.00
_symmetry_space_group_name_H-M 'C 1 2/m 1'
_symmetry_Int_Tables_number 12
loop_
_symmetry_equiv_pos_as_xyz
'x,y,z'
'-x,-y,-z'
'-x,y,-z'
'x,-y,z'
'x+1/2,y+1/2,z'
'-x+1/2,-y+1/2,-z'
'-x+1/2,y+1/2,-z'
'x+1/2,-y+1/2,z'
loop_
_atom_site_label
_atom_site_type_symbol
_atom_site_fract_x
_atom_site_fract_y
_atom_site_fract_z
Zn1 Zn 0.154 0.000 0.444
H1 H 0.106 0.500 0.949
Cl1 Cl 0.062 0.500 0.336
Cl2 Cl 0.129 0.000 0.972
Cl3 Cl 0.211 0.500 0.628
```



DFT (PBE-GGA) results for CoNi3W after structural relaxation.

Energy relative to the lowest polymorph listed for this composition = 134.1 meV/atom
Energy of formation = 920 meV per atom
Calculated density = 8.77 Mg/m³

```
data_CoNi3W
_cell_length_a 4.709
_cell_length_b 4.718
_cell_length_c 4.720
_cell_angle_alpha 63.18
_cell_angle_beta 63.30
_cell_angle_gamma 62.90
_symmetry_space_group_name_H-M 'P -1'
_symmetry_Int_Tables_number 2
loop_
_symmetry_equiv_pos_as_xyz
'x,y,z'
'-x,-y,-z'
loop_
_atom_site_label
_atom_site_type_symbol
_atom_site_fract_x
_atom_site_fract_y
_atom_site_fract_z
Co1 Co 0.000 0.000 0.000
Ni1 Ni 0.000 0.500 0.000
Ni2 Ni 0.500 0.000 0.000
Ni3 Ni 0.500 0.500 0.500
W1 W 0.000 0.000 0.500
```



DFT (PBE-GGA) results for PmPr2Tm8 after structural relaxation.

Energy relative to the lowest polymorph listed for this composition = 0.0 meV/atom
Energy of formation = 29 meV per atom
Calculated density = 8.52 Mg/m³

```
data_PmPr2Tm8
_cell_length_a 18.076
_cell_length_b 5.018
_cell_length_c 7.920
_cell_angle_alpha 90.00
_cell_angle_beta 105.19
_cell_angle_gamma 90.00
_symmetry_space_group_name_H-M 'C 1 2/m 1'
_symmetry_Int_Tables_number 12
loop_
_symmetry_equiv_pos_as_xyz
'x,y,z'
'-x,-y,-z'
'-x,y,-z'
'x,-y,z'
'x+1/2,y+1/2,z'
'-x+1/2,-y+1/2,-z'
'-x+1/2,y+1/2,-z'
'x+1/2,-y+1/2,z'
loop_
_atom_site_label
_atom_site_type_symbol
_atom_site_fract_x
_atom_site_fract_y
_atom_site_fract_z
Pm1 Pm 0.000 0.000 0.000
Pr1 Pr 0.227 0.500 0.638
Tm1 Tm 0.044 0.500 0.726
Tm2 Tm 0.089 0.000 0.454
Tm3 Tm 0.135 0.500 0.178
Tm4 Tm 0.181 0.000 0.907
```



DFT (PBE-GGA) results for ErRh3Pb after structural relaxation.

Energy of formation = -325 meV per atom
Calculated density = 11.76 Mg/m³

```
data_ErRh3Pb
_cell_length_a 5.603
_cell_length_b 7.551
_cell_length_c 9.124
_cell_angle_alpha 90.00
_cell_angle_beta 90.00
_cell_angle_gamma 90.00
_symmetry_space_group_name_H-M 'I m m a'
_symmetry_Int_Tables_number 74
_symmetry_space_group_name_Hall '-I 2b 2'
loop_
_atom_site_label
_atom_site_type_symbol
_atom_site_fract_x
_atom_site_fract_y
_atom_site_fract_z
Er1 Er 0.000 0.250 0.022
Rh1 Rh 0.000 0.250 0.724
Rh2 Rh 0.250 0.058 0.250
Pb1 Pb 0.000 0.000 0.500
```



DFT (PBE-GGA) results for ErPuGaCo after structural relaxation.

Energy of formation = -179 meV per atom
Calculated density = 10.90 Mg/m³

```
data_ErPuGaCo
_cell_length_a 6.903
_cell_length_b 6.903
_cell_length_c 6.903
_cell_angle_alpha 90.00
_cell_angle_beta 90.00
_cell_angle_gamma 90.00
_symmetry_space_group_name_H-M 'F -4 3 m'
_symmetry_Int_Tables_number 216
_symmetry_space_group_name_Hall 'F -4 2 3'
loop_
_atom_site_label
_atom_site_type_symbol
_atom_site_fract_x
_atom_site_fract_y
_atom_site_fract_z
Er1 Er 0.000 0.000 0.000
Pu1 Pu 0.000 0.000 0.500
Ga1 Ga 0.250 0.250 0.250
Co1 Co 0.250 0.250 0.750
```



DFT (PBE-GGA) results for LaThBiP after structural relaxation.

Energy of formation = -1185 meV per atom
Calculated density = 8.31 Mg/m³

```
data_LaThBiP
_cell_length_a 4.3551
_cell_length_b 4.3551
_cell_length_c 22.2845
_cell_angle_alpha 90.00
_cell_angle_beta 90.00
_cell_angle_gamma 120.00
_symmetry_space_group_name_H-M 'R 3 m'
_symmetry_Int_Tables_number 160
_symmetry_space_group_name_Hall 'R 3 -2"'
loop_
_atom_site_label
_atom_site_type_symbol
_atom_site_fract_x
_atom_site_fract_y
_atom_site_fract_z
La1 La 0.0000 0.0000 0.0000
Th1 Th 0.0000 0.0000 0.5221
Bi1 Bi 0.0000 0.0000 0.7629
P1 P 0.0000 0.0000 0.2577
```



DFT (PBE-GGA) results for La3NdSm12 after structural relaxation.

Energy of formation = 17 meV per atom
Calculated density = 7.11 Mg/m³

```
data_La3NdSm12
_cell_length_a 5.172
_cell_length_b 5.172
_cell_length_c 20.642
_cell_angle_alpha 90.00
_cell_angle_beta 90.00
_cell_angle_gamma 90.00
_symmetry_space_group_name_H-M 'P 4/m m m'
_symmetry_Int_Tables_number 123
_symmetry_space_group_name_Hall '-P 4 2'
loop_
_atom_site_label
_atom_site_type_symbol
_atom_site_fract_x
_atom_site_fract_y
_atom_site_fract_z
La1 La 0.000 0.000 0.000
La2 La 0.000 0.000 0.250
Nd1 Nd 0.000 0.000 0.500
Sm1 Sm 0.000 0.500 0.125
Sm2 Sm 0.000 0.500 0.376
Sm3 Sm 0.500 0.500 0.000
Sm4 Sm 0.500 0.500 0.251
Sm5 Sm 0.500 0.500 0.500
```



DFT (PBE-GGA) results for BaLiMg2Tl after structural relaxation.

Energy relative to the lowest polymorph listed for this composition = 0.0 meV/atom
Energy of formation = -57 meV per atom
Calculated density = 4.50 Mg/m³

```
data_BaLiMg2Tl
_cell_length_a 5.275
_cell_length_b 5.275
_cell_length_c 5.263
_cell_angle_alpha 90.00
_cell_angle_beta 90.00
_cell_angle_gamma 90.00
_symmetry_space_group_name_H-M 'P 4/m m m'
_symmetry_Int_Tables_number 123
_symmetry_space_group_name_Hall '-P 4 2'
loop_
_atom_site_label
_atom_site_type_symbol
_atom_site_fract_x
_atom_site_fract_y
_atom_site_fract_z
Ba1 Ba 0.000 0.000 0.000
Li1 Li 0.500 0.500 0.500
Mg1 Mg 0.000 0.500 0.500
Tl1 Tl 0.500 0.500 0.000
```



Q: The lowest calculated density belongs to which entry?
A: ZnHCl3